1.
Compound: MgAlGaRh
Source: Alexandria via LeMat-Bulk
Functional: PBE
Structure: relaxed

The value obtained for the formation energy is -0.264 eV/atom. The value obtained for the magnetization is 0.00 μB per formula unit. The value obtained for the density is 5.314 g/cm3. The calculation puts the volume at 209.93 Å³ per cell.

Cell lengths 4.2375, 4.2375, 13.4994 Å; angles 90.00, 90.00, 120.00 degrees
With the nearest neighbours (Å) after each atom.
Space group R3m (No. 160, hexagonal axes)
Inequivalent atoms, fractional coordinates:
Mg 0.0000 0.0000 0.0000  1 Al 2.55, 3 Ga 2.72, 1 Rh 2.73
Al 0.0000 0.0000 0.1891  1 Mg 2.55, 3 Ga 2.56, 3 Rh 2.57
Ga 0.0000 0.0000 0.5780  3 Al 2.56, 3 Mg 2.72
Rh 0.0000 0.0000 0.7979  3 Al 2.57, 1 Mg 2.73

2.
Compound: Mg2Al2GaRh5
Source: Alexandria via LeMat-Bulk
Functional: PBE
Structure: relaxed

The value obtained for the formation energy is -0.653 eV/atom. The value obtained for the magnetization is 0.00 μB per formula unit. The value obtained for the density is 7.417 g/cm3. The calculation puts the volume at 307.53 Å³ per cell.

Cell lengths 9.9104, 9.9104, 3.1312 Å; angles 90.00, 90.00, 90.00 degrees
With the nearest neighbours (Å) after each atom.
Space group P4/mbm (No. 127)
Inequivalent atoms, fractional coordinates:
Mg 0.1698 0.3302 0.0000  3 Al 2.78-3.01, 6 Rh 2.85-3.03
Al 0.1316 0.6316 0.0000  6 Rh 2.41-2.42
Ga 0.0000 0.0000 0.0000  8 Rh 2.58
Rh 0.0000 0.5000 0.5000  4 Al 2.42
Rh 0.0700 0.8058 0.5000  2 Al 2.41, 2 Ga 2.58

3.
Compound: MgAlGaRu2
Source: Alexandria via LeMat-Bulk
Functional: PBE
Structure: relaxed

The value obtained for the formation energy is 1.307 eV/atom. The value obtained for the magnetization is 0.42 μB per formula unit. The value obtained for the density is 5.727 g/cm3. The calculation puts the volume at 93.70 Å³ per cell.

Cell lengths 4.5456, 4.5456, 4.5349 Å; angles 90.00, 90.00, 90.00 degrees
With the nearest neighbours (Å) after each atom.
Space group P4/mmm (No. 123)
Inequivalent atoms, fractional coordinates:
Mg 0.0000 0.0000 0.0000  2 Al 2.27, 4 Ru 2.27
Al 0.0000 0.0000 0.5000  2 Mg 2.27
Ga 0.5000 0.5000 0.5000  8 Ru 3.21, 4 Al 3.21
Ru 0.0000 0.5000 0.0000  2 Mg 2.27

4.
Compound: MgAl2GaS6
Source: Alexandria via LeMat-Bulk
Functional: PBE
Structure: relaxed

The value obtained for the magnetization is 0.00 μB per formula unit. The value obtained for the density is 2.505 g/cm3. The calculation puts the volume at 902.47 Å³ per cell. The formation energy (no corrections) comes out at -0.841 eV/atom.

Cell lengths 12.0127, 12.3050, 6.6679 Å; angles 90.00, 113.71, 90.00 degrees
With the nearest neighbours (Å) after each atom.
Space group C2/c (No. 15)
Inequivalent atoms, fractional coordinates:
Mg 0.0000 0.1080 0.2500  6 S 2.56-2.80
Al 0.1702 0.4127 0.1796  4 S 2.26-2.29
Ga 0.0000 0.1825 0.7500  4 S 2.28-2.34
S 0.1062 0.4430 0.4528  2 Al 2.26-2.27
S 0.1233 0.0641 0.6540  1 Al 2.29, 1 Ga 2.34, 1 Mg 2.56
S 0.1230 0.2363 0.0955  1 Al 2.26, 1 Ga 2.28

5.
Compound: MgAlGa2Se6
Source: Alexandria via LeMat-Bulk
Functional: PBE
Structure: relaxed

The value obtained for the magnetization is 0.00 μB per formula unit. The value obtained for the density is 4.107 g/cm3. The calculation puts the volume at 1074.58 Å³ per cell. The formation energy (no corrections) comes out at -0.638 eV/atom.

Cell lengths 13.5847, 12.9156, 6.9667 Å; angles 90.00, 118.46, 90.00 degrees
With the nearest neighbours (Å) after each atom.
Space group C2/c (No. 15)
Inequivalent atoms, fractional coordinates:
Mg 0.0000 0.1232 0.2500  4 Se 2.67-2.71
Al 0.0000 0.1778 0.7500  4 Se 2.43-2.45
Ga 0.1817 0.4137 0.1108  4 Se 2.43-2.44
Se 0.1046 0.4403 0.7193  2 Ga 2.43-2.44
Se 0.1166 0.0613 0.6646  1 Ga 2.44, 1 Al 2.45, 1 Mg 2.67
Se 0.1264 0.2345 0.1190  1 Al 2.43, 1 Ga 2.44, 1 Mg 2.71

6.
Compound: MgAl2GaSe6
Source: Alexandria via LeMat-Bulk
Functional: PBE
Structure: relaxed

The value obtained for the magnetization is 0.00 μB per formula unit. The value obtained for the density is 3.908 g/cm3. The calculation puts the volume at 1056.70 Å³ per cell. The formation energy (no corrections) comes out at -0.700 eV/atom.

Cell lengths 12.7898, 12.9042, 6.9858 Å; angles 90.00, 113.58, 90.00 degrees
With the nearest neighbours (Å) after each atom.
Space group C2/c (No. 15)
Inequivalent atoms, fractional coordinates:
Mg 0.0000 0.1169 0.2500  4 Se 2.67-2.75
Al 0.1721 0.4135 0.1851  4 Se 2.40-2.44
Ga 0.0000 0.1804 0.7500  4 Se 2.43-2.49
Se 0.1061 0.4377 0.4624  2 Al 2.40-2.42
Se 0.1218 0.0622 0.6467  1 Al 2.44, 1 Ga 2.49, 1 Mg 2.67
Se 0.1298 0.2334 0.0986  1 Al 2.41, 1 Ga 2.43

7.
Compound: MgAlGaSi
Source: Alexandria via LeMat-Bulk
Functional: PBE
Structure: relaxed

The value obtained for the magnetization is 0.00 μB per formula unit. The value obtained for the density is 3.476 g/cm3. The calculation puts the volume at 284.92 Å³ per cell. The formation energy (no corrections) comes out at 0.141 eV/atom.

Cell lengths 6.5802, 6.5802, 6.5802 Å; angles 90.00, 90.00, 90.00 degrees
With the nearest neighbours (Å) after each atom.
Space group F-43m (No. 216)
Inequivalent atoms, fractional coordinates:
Mg 0.0000 0.0000 0.0000  4 Ga 2.85, 4 Si 2.85
Al 0.0000 0.0000 0.5000  4 Si 2.85, 4 Ga 2.85
Ga 0.2500 0.2500 0.2500  4 Mg 2.85, 4 Al 2.85
Si 0.2500 0.2500 0.7500  4 Mg 2.85, 4 Al 2.85

8.
Compound: SmMgAlGa2
Source: Alexandria via LeMat-Bulk
Functional: PBE
Structure: relaxed

The value obtained for the formation energy is -0.438 eV/atom. The value obtained for the magnetization is 0.00 μB per formula unit. The value obtained for the density is 5.478 g/cm3. The calculation puts the volume at 206.79 Å³ per cell.

Cell lengths 4.2502, 4.2502, 11.4477 Å; angles 90.00, 90.00, 90.00 degrees
With the nearest neighbours (Å) after each atom.
Space group I-4m2 (No. 119)
Inequivalent atoms, fractional coordinates:
Sm 0.0000 0.0000 0.0000  8 Ga 3.25, 4 Mg 3.56, 4 Al 3.56
Mg 0.0000 0.5000 0.7500  4 Ga 2.68
Al 0.0000 0.5000 0.2500  4 Ga 2.68
Ga 0.0000 0.0000 0.3922  1 Ga 2.47, 2 Mg 2.68, 2 Al 2.68

9.
Compound: SmMgAl2Ga2
Source: Alexandria via LeMat-Bulk
Functional: PBE
Structure: relaxed

The value obtained for the formation energy is -0.366 eV/atom. The value obtained for the magnetization is 0.00 μB per formula unit. The value obtained for the density is 5.136 g/cm3. The calculation puts the volume at 119.00 Å³ per cell.

Cell lengths 4.5376, 4.5376, 6.6736 Å; angles 90.00, 90.00, 120.00 degrees
With the nearest neighbours (Å) after each atom.
Space group P-3m1 (No. 164)
Inequivalent atoms, fractional coordinates:
Sm 0.0000 0.0000 0.0000  6 Ga 3.20, 6 Al 3.27, 2 Mg 3.34
Mg 0.0000 0.0000 0.5000  6 Al 2.96, 6 Ga 3.02
Al 0.3333 0.6667 0.7064  4 Ga 2.62-2.88
Ga 0.3333 0.6667 0.2743  4 Al 2.62-2.88

10.
Compound: SrMgAl2Ga
Source: Alexandria via LeMat-Bulk
Functional: PBE
Structure: relaxed

The value obtained for the formation energy is -0.293 eV/atom. The value obtained for the magnetization is 0.00 μB per formula unit. The value obtained for the density is 3.387 g/cm3. The calculation puts the volume at 231.02 Å³ per cell.

Cell lengths 4.4536, 4.4551, 11.6434 Å; angles 90.00, 90.00, 90.00 degrees
With the nearest neighbours (Å) after each atom.
Space group Imm2 (No. 44)
Inequivalent atoms, fractional coordinates:
Sr 0.0000 0.0000 0.0000  4 Ga 3.40, 8 Al 3.41-3.69, 4 Mg 3.62-3.71
Mg 0.0000 0.5000 0.7453  2 Ga 2.73, 2 Al 2.78
Al 0.0000 0.0000 0.3883  1 Ga 2.57, 2 Al 2.77, 2 Mg 2.78
Al 0.0000 0.5000 0.2471  2 Ga 2.75, 2 Al 2.77
Ga 0.0000 0.0000 0.6092  3 Al 2.57-2.75, 2 Mg 2.73

11.
Compound: SrMgAlGa
Source: Alexandria via LeMat-Bulk
Functional: PBE
Structure: relaxed

The value obtained for the formation energy is -0.145 eV/atom. The value obtained for the magnetization is 0.00 μB per formula unit. The value obtained for the density is 3.576 g/cm3. The calculation puts the volume at 387.52 Å³ per cell.

Cell lengths 7.2906, 7.2906, 7.2906 Å; angles 90.00, 90.00, 90.00 degrees
With the nearest neighbours (Å) after each atom.
Space group F-43m (No. 216)
Inequivalent atoms, fractional coordinates:
Sr 0.0000 0.0000 0.0000  4 Al 3.16, 4 Ga 3.16
Mg 0.0000 0.0000 0.5000  4 Al 3.16, 4 Ga 3.16
Al 0.2500 0.2500 0.7500  4 Mg 3.16, 4 Sr 3.16
Ga 0.2500 0.2500 0.2500  4 Mg 3.16, 4 Sr 3.16

12.
Compound: SrMgAl2Ga2
Source: Alexandria via LeMat-Bulk
Functional: PBE
Structure: relaxed

The value obtained for the formation energy is -0.256 eV/atom. The value obtained for the magnetization is 0.00 μB per formula unit. The value obtained for the density is 3.862 g/cm3. The calculation puts the volume at 131.28 Å³ per cell.

Cell lengths 4.5626, 4.5626, 7.2820 Å; angles 90.00, 90.00, 120.00 degrees
With the nearest neighbours (Å) after each atom.
Space group P-3m1 (No. 164)
Inequivalent atoms, fractional coordinates:
Sr 0.0000 0.0000 0.0000  6 Ga 3.35, 6 Al 3.46, 2 Mg 3.64
Mg 0.0000 0.0000 0.5000  6 Al 2.98, 6 Ga 3.06
Al 0.3333 0.6667 0.6923  3 Ga 2.64
Ga 0.3333 0.6667 0.2849  3 Al 2.64

Which formula does entry 6 have?
MgAl2GaSe6

Among the records above, which one has the lowest density?
MgAl2GaS6